#P
# RbHg3Ru PBE optimized geometry
# * spin magnetization: 3.01 μB/cell
data_RbHg3Ru
_chemical_formula_sum 'Rb1 Hg3 Ru1'
_cell_length_a 6.527
_cell_length_b 6.527
_cell_length_c 6.527
_cell_angle_alpha 90.00
_cell_angle_beta 90.00
_cell_angle_gamma 90.00
_space_group_name_H-M_alt 'P m -3 m'
_space_group_IT_number 221
_space_group_name_Hall '-P 4 2 3'
loop_
_atom_site_label
_atom_site_fract_x
_atom_site_fract_y
_atom_site_fract_z
Rb1 0.000 0.000 0.000
Hg1 0.000 0.000 0.500
Ru1 0.500 0.500 0.500



#Q
# RbHg3Ru PBE optimized geometry
# * spin magnetization: 0.11 μB/cell
data_RbHg3Ru
_chemical_formula_sum 'Rb1 Hg3 Ru1'
_cell_length_a 5.350
_cell_length_b 5.350
_cell_length_c 5.350
_cell_angle_alpha 90.00
_cell_angle_beta 90.00
_cell_angle_gamma 90.00
_space_group_name_H-M_alt 'P m -3 m'
_space_group_IT_number 221
_space_group_name_Hall '-P 4 2 3'
loop_
_atom_site_label
_atom_site_fract_x
_atom_site_fract_y
_atom_site_fract_z
Rb1 0.000 0.000 0.000
Hg1 0.000 0.500 0.500
Ru1 0.500 0.500 0.500



Of them, #P has the lowest stability.



#P
# RbHg2Ru2 PBE optimized geometry
# * spin magnetization: 0.00 μB/cell
data_RbHg2Ru2
_chemical_formula_sum 'Rb2 Hg4 Ru4'
_cell_length_a 5.026
_cell_length_b 5.026
_cell_length_c 9.617
_cell_angle_alpha 90.00
_cell_angle_beta 90.00
_cell_angle_gamma 90.00
_space_group_name_H-M_alt 'I 4/m m m'
_space_group_IT_number 139
_space_group_name_Hall '-I 4 2'
loop_
_atom_site_label
_atom_site_fract_x
_atom_site_fract_y
_atom_site_fract_z
Rb1 0.000 0.000 0.000
Hg1 0.000 0.500 0.250
Ru1 0.000 0.000 0.384



#Q
# RbHg2Ru2 PBE optimized geometry
# * spin magnetization: 3.95 μB/cell
data_RbHg2Ru2
_chemical_formula_sum 'Rb2 Hg4 Ru4'
_cell_length_a 8.609
_cell_length_b 8.609
_cell_length_c 2.955
_cell_angle_alpha 90.00
_cell_angle_beta 90.00
_cell_angle_gamma 90.00
_space_group_name_H-M_alt 'P 4/m b m'
_space_group_IT_number 127
_space_group_name_Hall '-P 4 2ab'
loop_
_atom_site_label
_atom_site_fract_x
_atom_site_fract_y
_atom_site_fract_z
Rb1 0.000 0.000 0.000
Hg1 0.190 0.310 0.500
Ru1 0.097 0.597 0.000



Of them, #P has the lowest stability.